## Na2CdMoF6 (GGA+U)

Data for an optimized crystal structure of Na2CdMoF6.

Lattice parameters (Å, degrees): 5.715 5.973 6.075 62.89 89.94 62.10
Fractional coordinates of all 10 atoms:
Na  0.000  0.000  0.000
Na  0.499  0.003  0.501
Cd  0.715  0.564  0.134
Mo  0.214  0.572  0.631
F  0.106  0.457  0.368
F  0.315  0.745  0.838
F  0.425  0.738  0.356
F  0.634  0.010  0.854
F  0.791  0.119  0.297
F  0.953  0.449  0.850

Calculated values
The value obtained for the calculated total energy is -4.527 eV per atom.